# 1
La2ScSiF after structural relaxation. Source: the Alexandria database, functional PBE-GGA.

a = 5.0472 Å, b = 5.0472 Å, c = 4.4185 Å
α = 90.00°, β = 90.00°, γ = 90.00°
With the nearest neighbours (Å) after each atom.
Space group P4/mmm (No. 123)
Asymmetric unit:
La: 0.0000 0.5000 0.0000 (multiplicity 2)  2 F 2.52
Sc: 0.0000 0.0000 0.5000 (multiplicity 1)  2 F 2.21
Si: 0.5000 0.5000 0.5000 (multiplicity 1)  8 La 3.35, 4 Sc 3.57
F: 0.0000 0.0000 0.0000 (multiplicity 1)  2 Sc 2.21

- E_form (uncorrected): -1.054 eV/atom
- Mass density: 5.46 g cm⁻³

=====

# 2
La2ScTlF after structural relaxation. Source: the Alexandria database, functional PBE-GGA.

a = 5.7445 Å, b = 5.7445 Å, c = 5.3304 Å
α = 90.00°, β = 90.00°, γ = 90.00°
With the nearest neighbours (Å) after each atom.
Space group P4/mmm (No. 123)
Asymmetric unit:
La: 0.0000 0.5000 0.0000 (multiplicity 2)  2 Sc 2.87
Sc: 0.0000 0.0000 0.0000 (multiplicity 1)  2 Tl 2.67, 4 La 2.87
Tl: 0.0000 0.0000 0.5000 (multiplicity 1)  2 Sc 2.67
F: 0.5000 0.5000 0.5000 (multiplicity 1)  8 La 3.92, 4 Tl 4.06

- E_form (uncorrected): -0.010 eV/atom
- Mass density: 5.16 g cm⁻³

=====

# 3
La2YScF after structural relaxation. Source: the Alexandria database, functional PBE-GGA.

a = 5.4362 Å, b = 5.4362 Å, c = 4.4871 Å
α = 90.00°, β = 90.00°, γ = 90.00°
With the nearest neighbours (Å) after each atom.
Space group P4/mmm (No. 123)
Asymmetric unit:
La: 0.0000 0.5000 0.0000 (multiplicity 2)  2 F 2.72
Y: 0.0000 0.0000 0.5000 (multiplicity 1)  8 La 3.52, 4 Sc 3.84
Sc: 0.5000 0.5000 0.5000 (multiplicity 1)  2 F 2.24
F: 0.5000 0.5000 0.0000 (multiplicity 1)  2 Sc 2.24

- E_form (uncorrected): -0.982 eV/atom
- Mass density: 5.39 g cm⁻³
- Polymorph energy (0 for the lowest one): 0 kJ/mol of formula units

=====

# 4
La2YScF after structural relaxation. Source: the Alexandria database, functional PBE-GGA.

a = 5.2840 Å, b = 5.2840 Å, c = 4.8142 Å
α = 90.00°, β = 90.00°, γ = 90.00°
With the nearest neighbours (Å) after each atom.
Space group P4/mmm (No. 123)
Asymmetric unit:
La: 0.0000 0.5000 0.0000 (multiplicity 2)  2 F 2.64
Y: 0.0000 0.0000 0.5000 (multiplicity 1)  2 F 2.41
Sc: 0.5000 0.5000 0.5000 (multiplicity 1)  8 La 3.57, 4 Y 3.74
F: 0.0000 0.0000 0.0000 (multiplicity 1)  2 Y 2.41, 4 La 2.64

- E_form (uncorrected): -0.964 eV/atom
- Mass density: 5.32 g cm⁻³
- Polymorph energy (0 for the lowest one): 8 kJ/mol of formula units

=====

# 5
LaZrSc2F after structural relaxation. Source: the Alexandria database, functional PBE-GGA.

a = 5.3861 Å, b = 5.3861 Å, c = 5.1977 Å
α = 90.00°, β = 90.00°, γ = 90.00°
With the nearest neighbours (Å) after each atom.
Space group P4/mmm (No. 123)
Asymmetric unit:
La: 0.0000 0.0000 0.0000 (multiplicity 1)  2 Zr 2.60, 4 Sc 2.69
Zr: 0.0000 0.0000 0.5000 (multiplicity 1)  2 La 2.60
Sc: 0.0000 0.5000 0.0000 (multiplicity 2)  2 La 2.69
F: 0.5000 0.5000 0.5000 (multiplicity 1)  8 Sc 3.74, 4 Zr 3.81

- E_form (uncorrected): 0.935 eV/atom
- Mass density: 3.73 g cm⁻³

=====

# 6
LaSeF2 after structural relaxation. Source: the Alexandria database, functional PBE-GGA.

a = 4.0842 Å, b = 4.0842 Å, c = 16.9183 Å
α = 90.00°, β = 90.00°, γ = 120.00°
With the nearest neighbours (Å) after each atom.
Space group R-3m (No. 166, hexagonal axes)
Asymmetric unit:
La: 0.0000 0.0000 0.0000 (multiplicity 3)  6 F 2.42
Se: 0.0000 0.0000 0.5000 (multiplicity 3)  8 F 3.27-3.37
F: 0.0000 0.0000 0.3006 (multiplicity 6)  3 La 2.42, 3 F 2.61

- E_form (uncorrected): -2.822 eV/atom
- Mass density: 5.22 g cm⁻³
- Polymorph energy (0 for the lowest one): 0 kJ/mol of formula units

=====

# 7
La3Se3F2 after structural relaxation. Source: the Alexandria database, functional PBE-GGA.

a = 3.9876 Å, b = 13.1199 Å, c = 14.5079 Å
α = 90.00°, β = 90.00°, γ = 90.00°
With the nearest neighbours (Å) after each atom.
Space group Cmcm (No. 63)
Asymmetric unit:
La: 0.0000 0.1257 0.0523 (multiplicity 8)  3 F 2.47-2.53
La: 0.0000 0.1471 0.7500 (multiplicity 4)  2 F 2.99, 6 Se 3.01-3.12
Se: 0.0000 0.1809 0.2500 (multiplicity 4)  4 La 2.96-3.01
Se: 0.0000 0.4496 0.1097 (multiplicity 8)  6 La 3.12-3.24, 2 F 3.42, 1 Se 3.45
F: 0.0000 0.2572 0.5699 (multiplicity 8)  3 La 2.47-2.53

- E_form (uncorrected): -2.653 eV/atom
- Mass density: 6.05 g cm⁻³

=====

# 8
LaSeF2 after structural relaxation. Source: the Alexandria database, functional PBE-GGA.

a = 6.4768 Å, b = 6.4768 Å, c = 6.4768 Å
α = 90.00°, β = 90.00°, γ = 90.00°
With the nearest neighbours (Å) after each atom.
Space group Fm-3m (No. 225)
Asymmetric unit:
La: 0.0000 0.0000 0.0000 (multiplicity 4)  8 F 2.80
Se: 0.0000 0.0000 0.5000 (multiplicity 4)  8 F 2.80
F: 0.2500 0.2500 0.2500 (multiplicity 8)  4 La 2.80, 4 Se 2.80

- E_form (uncorrected): -2.446 eV/atom
- Mass density: 6.26 g cm⁻³
- Polymorph energy (0 for the lowest one): 145 kJ/mol of formula units

=====

# 9
LaSeF2 after structural relaxation. Source: the Alexandria database, functional PBE-GGA.

a = 4.7719 Å, b = 4.7719 Å, c = 15.7094 Å
α = 90.00°, β = 90.00°, γ = 90.00°
With the nearest neighbours (Å) after each atom.
Space group I-42d (No. 122)
Asymmetric unit:
La: 0.0000 0.0000 0.0000 (multiplicity 4)  4 F 2.34
Se: 0.0000 0.0000 0.5000 (multiplicity 4)  4 F 3.01
F: 0.0930 0.2500 0.1250 (multiplicity 8)  2 La 2.34, 2 F 2.55

- E_form (uncorrected): -2.699 eV/atom
- Mass density: 4.75 g cm⁻³
- Polymorph energy (0 for the lowest one): 47 kJ/mol of formula units

=====

# 10
LaSeF2 after structural relaxation. Source: the Alexandria database, functional PBE-GGA.

a = 3.2998 Å, b = 4.1339 Å, c = 13.1759 Å
α = 90.00°, β = 90.00°, γ = 90.00°
With the nearest neighbours (Å) after each atom.
Space group Imm2 (No. 44)
Asymmetric unit:
La: 0.0000 0.0000 0.0000 (multiplicity 2)  2 F 2.27
Se: 0.0000 0.5000 0.6990 (multiplicity 2)  2 La 3.10, 2 Se 3.30, 2 F 3.31
F: 0.0000 0.0000 0.5027 (multiplicity 2)  2 F 2.61, 4 La 2.64
F: 0.0000 0.5000 0.3814 (multiplicity 2)  2 La 2.27

- E_form (uncorrected): -2.647 eV/atom
- Mass density: 4.73 g cm⁻³
- Polymorph energy (0 for the lowest one): 67 kJ/mol of formula units

=====

# 11
LaSeF after structural relaxation. Source: the Alexandria database, functional PBE-GGA.

a = 4.2121 Å, b = 4.2121 Å, c = 4.2118 Å
α = 90.00°, β = 90.00°, γ = 120.00°
With the nearest neighbours (Å) after each atom.
Space group P-6m2 (No. 187)
Asymmetric unit:
La: 0.0000 0.0000 0.0000 (multiplicity 1)  3 F 2.43
Se: 0.6667 0.3333 0.5000 (multiplicity 1)  6 La 3.22, 6 F 3.22
F: 0.3333 0.6667 0.0000 (multiplicity 1)  3 La 2.43

- E_form (uncorrected): -3.000 eV/atom
- Mass density: 6.08 g cm⁻³

=====

# 12
LaSeF after structural relaxation. Source: the Alexandria database, functional PBE-GGA.

a = 6.6976 Å, b = 6.6976 Å, c = 6.6976 Å
α = 90.00°, β = 90.00°, γ = 90.00°
With the nearest neighbours (Å) after each atom.
Space group F-43m (No. 216)
Asymmetric unit:
La: 0.0000 0.0000 0.0000 (multiplicity 4)  4 F 2.90, 4 Se 2.90
Se: 0.2500 0.2500 0.2500 (multiplicity 4)  4 La 2.90
F: 0.2500 0.2500 0.7500 (multiplicity 4)  4 La 2.90

- E_form (uncorrected): -2.739 eV/atom
- Mass density: 5.24 g cm⁻³

=====

# 13
LaSeF3 after structural relaxation. Source: the Alexandria database, functional PBE-GGA.

a = 4.5873 Å, b = 4.5873 Å, c = 4.5873 Å
α = 90.00°, β = 90.00°, γ = 90.00°
With the nearest neighbours (Å) after each atom.
Space group Pm-3m (No. 221)
Asymmetric unit:
La: 0.0000 0.0000 0.0000 (multiplicity 1)  12 F 3.24
Se: 0.5000 0.5000 0.5000 (multiplicity 1)  6 F 2.29
F: 0.0000 0.5000 0.5000 (multiplicity 3)  2 Se 2.29

- E_form (uncorrected): -1.425 eV/atom
- Mass density: 4.73 g cm⁻³
- Polymorph energy (0 for the lowest one): 640 kJ/mol of formula units

=====

# 14
LaSeF3 after structural relaxation. Source: the Alexandria database, functional PBE-GGA.

a = 4.7282 Å, b = 4.7282 Å, c = 4.7282 Å
α = 90.00°, β = 90.00°, γ = 90.00°
With the nearest neighbours (Å) after each atom.
Space group Pm-3m (No. 221)
Asymmetric unit:
La: 0.0000 0.0000 0.0000 (multiplicity 1)  6 F 2.36
Se: 0.5000 0.5000 0.5000 (multiplicity 1)  12 F 3.34
F: 0.0000 0.0000 0.5000 (multiplicity 3)  2 La 2.36

- E_form (uncorrected): -2.751 eV/atom
- Mass density: 4.32 g cm⁻³
- Polymorph energy (0 for the lowest one): 0 kJ/mol of formula units

=====

# 15
LaSeF after structural relaxation. Source: the Alexandria database, functional PBE-GGA.

a = 4.2348 Å, b = 4.2348 Å, c = 8.2639 Å
α = 90.00°, β = 90.00°, γ = 120.00°
With the nearest neighbours (Å) after each atom.
Space group P6_3/mmc (No. 194)
Asymmetric unit:
La: 0.3333 0.6667 0.2500 (multiplicity 2)  3 F 2.44
Se: 0.0000 0.0000 0.0000 (multiplicity 2)  6 La 3.20, 6 F 3.20
F: 0.3333 0.6667 0.7500 (multiplicity 2)  3 La 2.44

- E_form (uncorrected): -3.011 eV/atom
- Mass density: 6.13 g cm⁻³

=====

# 16
LaSeF after structural relaxation. Source: the Alexandria database, functional PBE-GGA.

a = 4.5677 Å, b = 4.5677 Å, c = 13.5063 Å
α = 90.00°, β = 90.00°, γ = 90.00°
With the nearest neighbours (Å) after each atom.
Space group I4/mmm (No. 139)
Asymmetric unit:
La: 0.0000 0.0000 0.1398 (multiplicity 4)  4 F 2.73, 4 Se 2.96
Se: 0.0000 0.5000 0.0000 (multiplicity 4)  4 La 2.96, 4 Se 3.23
F: 0.0000 0.5000 0.2500 (multiplicity 4)  4 La 2.73

- E_form (uncorrected): -2.583 eV/atom
- Mass density: 5.58 g cm⁻³

=====

# 17
LaSeF after structural relaxation. Source: the Alexandria database, functional PBE-GGA.

a = 3.6754 Å, b = 3.6754 Å, c = 9.4871 Å
α = 90.00°, β = 90.00°, γ = 90.00°
With the nearest neighbours (Å) after each atom.
Space group I4mm (No. 107)
Asymmetric unit:
La: 0.0000 0.0000 0.0000 (multiplicity 2)  4 F 2.80, 5 Se 3.07-3.09
Se: 0.0000 0.0000 0.3240 (multiplicity 2)  1 F 2.72
F: 0.0000 0.0000 0.6111 (multiplicity 2)  1 Se 2.72, 4 La 2.80

- E_form (uncorrected): -2.483 eV/atom
- Mass density: 6.14 g cm⁻³

=====

# 18
La2SeF4 after structural relaxation. Source: the Alexandria database, functional PBE-GGA.

a = 7.6906 Å, b = 7.6906 Å, c = 4.0041 Å
α = 90.00°, β = 90.00°, γ = 90.00°
With the nearest neighbours (Å) after each atom.
Space group P4_2/mnm (No. 136)
Asymmetric unit:
La: 0.2210 0.2210 0.0000 (multiplicity 4)  6 F 2.51-2.52
Se: 0.0000 0.0000 0.5000 (multiplicity 2)  6 La 3.03-3.13, 8 F 3.30
F: 0.0883 0.6712 0.0000 (multiplicity 8)  3 La 2.51-2.52, 1 F 2.62

- E_form (uncorrected): -3.656 eV/atom
- Mass density: 6.07 g cm⁻³

=====

# 19
LaSiSe2F after structural relaxation. Source: the Alexandria database, functional PBE-GGA.

a = 5.6405 Å, b = 5.6405 Å, c = 6.2909 Å
α = 90.00°, β = 90.00°, γ = 90.00°
With the nearest neighbours (Å) after each atom.
Space group P4/mmm (No. 123)
Asymmetric unit:
La: 0.0000 0.0000 0.0000 (multiplicity 1)  4 Se 2.82, 2 Si 3.15
Si: 0.0000 0.0000 0.5000 (multiplicity 1)  2 La 3.15
Se: 0.0000 0.5000 0.0000 (multiplicity 2)  2 La 2.82
F: 0.5000 0.5000 0.5000 (multiplicity 1)  4 Si 3.99, 8 Se 4.22

- E_form (uncorrected): 0.112 eV/atom
- Mass density: 2.85 g cm⁻³

=====

# 20
LaSnSeF2 after structural relaxation. Source: the Alexandria database, functional PBE-GGA.

a = 4.3794 Å, b = 4.3794 Å, c = 6.8648 Å
α = 90.00°, β = 90.00°, γ = 90.00°
With the nearest neighbours (Å) after each atom.
Space group P4/mmm (No. 123)
Asymmetric unit:
La: 0.0000 0.0000 0.0000 (multiplicity 1)  4 Se 3.10, 2 Sn 3.43
Sn: 0.0000 0.0000 0.5000 (multiplicity 1)  4 F 2.19
Se: 0.5000 0.5000 0.0000 (multiplicity 1)  4 La 3.10
F: 0.0000 0.5000 0.5000 (multiplicity 2)  2 Sn 2.19

- E_form (uncorrected): -1.847 eV/atom
- Mass density: 4.72 g cm⁻³